A plane-wave DFT calculation with PBEsol was carried out for a relaxed structure of La3TeC.

abc: 5.824 5.824 5.824
angles: 90.00 90.00 90.00
Space group Pm-3m (No. 221)
Unique sites:
La 0.000 0.000 0.500
Te 0.000 0.000 0.000
C 0.500 0.500 0.500

Calculated values
- total moment (μB/f.u.) = 0.02
- N(E_F) (states/eV/f.u.) = 5.63
- final energy (eV/atom) = -4.6739

---

A plane-wave DFT calculation with PBEsol was carried out for a relaxed structure of LaTe2C2.

abc: 4.233 4.233 11.273
angles: 90.00 90.00 90.00
Space group I4/mmm (No. 139)
Unique sites:
La 0.000 0.000 0.000
Te 0.000 0.500 0.250
C 0.000 0.000 0.443

Calculated values
- total moment (μB/f.u.) = 0.00
- N(E_F) (states/eV/f.u.) = 1.32
- final energy (eV/atom) = -6.0904

---

A plane-wave DFT calculation with PBEsol was carried out for a relaxed structure of La4YC10.

abc: 5.439 6.461 27.150
angles: 90.00 90.00 90.00
Space group Fmmm (No. 69)
Unique sites:
La 0.000 0.000 0.099
La 0.000 0.000 0.301
Y 0.000 0.000 0.500
C 0.000 0.100 0.200
C 0.000 0.100 0.405
C 0.000 0.101 0.000

Calculated values
- total moment (μB/f.u.) = 0.00
- N(E_F) (states/eV/f.u.) = 4.98
- final energy (eV/atom) = -8.4330

---

A plane-wave DFT calculation with PBEsol was carried out for a relaxed structure of La2YC6.

abc: 7.475 3.781 9.932
angles: 90.00 99.00 90.00
Space group C2/m (No. 12)
Unique sites:
La 0.166 0.000 0.173
Y 0.000 0.500 0.500
C 0.066 0.500 0.964
C 0.098 0.000 0.681
C 0.237 0.000 0.617

Calculated values
- total moment (μB/f.u.) = 0.00
- N(E_F) (states/eV/f.u.) = 2.81
- final energy (eV/atom) = -8.5259

---

A plane-wave DFT calculation with PBEsol was carried out for a relaxed structure of LaZnC3.

abc: 4.015 4.015 4.015
angles: 90.00 90.00 90.00
Space group Pm-3m (No. 221)
Unique sites:
La 0.000 0.000 0.000
Zn 0.500 0.500 0.500
C 0.000 0.500 0.500

Calculated values
- total moment (μB/f.u.) = 0.00
- N(E_F) (states/eV/f.u.) = 3.59
- final energy (eV/atom) = -5.5940

---

A plane-wave DFT calculation with PBEsol was carried out for a relaxed structure of LiC3.

abc: 2.590 2.590 4.565
angles: 90.00 90.00 90.00
Space group P4/mmm (No. 123)
Unique sites:
Li 0.000 0.000 0.000
C 0.000 0.000 0.500
C 0.500 0.500 0.347

Calculated values
- total moment (μB/f.u.) = 0.00
- N(E_F) (states/eV/f.u.) = 0.67
- final energy (eV/atom) = -5.7990

---

A plane-wave DFT calculation with PBEsol was carried out for a relaxed structure of LiC2.

abc: 2.585 13.925 2.539
angles: 90.00 90.00 90.00
Space group Cmcm (No. 63)
Unique sites:
Li 0.000 0.123 0.250
C 0.000 0.250 0.750
C 0.000 0.487 0.250

Calculated values
- total moment (μB/f.u.) = 0.00
- N(E_F) (states/eV/f.u.) = 0.79
- final energy (eV/atom) = -6.1218

---

A plane-wave DFT calculation with PBEsol was carried out for a relaxed structure of Li3C.

abc: 4.9629 4.9629 3.6856
angles: 90.00 90.00 120.00
Space group P6_3/mmc (No. 194)
Unique sites:
Li 0.1865 0.3730 0.2500
C 0.3333 0.6667 0.7500

Calculated values
- total moment (μB/f.u.) = 0.00
- N(E_F) (states/eV/f.u.) = 1.98
- final energy (eV/atom) = -3.3414

---

A plane-wave DFT calculation with PBEsol was carried out for a relaxed structure of Li3C2.

abc: 8.693 16.198 2.570
angles: 90.00 90.00 90.00
Space group Fdd2 (No. 43)
Unique sites:
Li 0.000 0.000 0.000
Li 0.077 0.143 0.688
C 0.024 0.268 0.715

Calculated values
- total moment (μB/f.u.) = 0.00
- N(E_F) (states/eV/f.u.) = 0.95
- final energy (eV/atom) = -4.8398

---

A plane-wave DFT calculation with PBEsol was carried out for a relaxed structure of LiC3.

abc: 2.468 5.801 5.148
angles: 90.00 90.00 90.00
Space group Cmmm (No. 65)
Unique sites:
Li 0.000 0.000 0.000
C 0.000 0.000 0.500
C 0.000 0.500 0.334

Calculated values
- total moment (μB/f.u.) = 0.00
- N(E_F) (states/eV/f.u.) = 0.78
- final energy (eV/atom) = -6.2720

---

A plane-wave DFT calculation with PBEsol was carried out for a relaxed structure of Li5C.

abc: 4.5430 4.5430 4.6986
angles: 90.00 90.00 120.00
Space group P6/mmm (No. 191)
Unique sites:
Li 0.0000 0.5000 0.0000
Li 0.3333 0.6667 0.5000
C 0.0000 0.0000 0.5000

Calculated values
- total moment (μB/f.u.) = 0.38
- N(E_F) (states/eV/f.u.) = 2.37
- final energy (eV/atom) = -2.2863

---

A plane-wave DFT calculation with PBEsol was carried out for a relaxed structure of LiMgC3.

abc: 3.637 3.637 3.637
angles: 90.00 90.00 90.00
Space group Pm-3m (No. 221)
Unique sites:
Li 0.000 0.000 0.000
Mg 0.500 0.500 0.500
C 0.000 0.000 0.500

Calculated values
- total moment (μB/f.u.) = 0.00
- N(E_F) (states/eV/f.u.) = 2.00
- final energy (eV/atom) = -4.1516

---

A plane-wave DFT calculation with PBEsol was carried out for a relaxed structure of Li3MnSiCO7.

abc: 4.939 6.195 8.467
angles: 90.00 93.47 90.00
Space group P2_1/m (No. 11)
Unique sites:
Li 0.234 0.250 0.118
Li 0.251 0.527 0.723
Mn 0.195 0.750 0.332
Si 0.287 0.250 0.425
C 0.275 0.750 0.031
O 0.022 0.750 0.053
O 0.170 0.051 0.310
O 0.175 0.250 0.601
O 0.371 0.750 0.893
O 0.382 0.750 0.560
O 0.445 0.750 0.157

Calculated values
- total moment (μB/f.u.) = 4.00
- final energy (eV/atom) = -7.2768

---

A plane-wave DFT calculation with PBEsol was carried out for a relaxed structure of Li2MnSiCO7.

abc: 4.963 6.231 8.252
angles: 90.00 94.01 90.00
Space group P2_1/m (No. 11)
Unique sites:
Li 0.225 0.003 0.261
Mn 0.196 0.250 0.836
Si 0.283 0.750 0.924
C 0.272 0.250 0.552
O 0.034 0.250 0.610
O 0.155 0.750 0.102
O 0.179 0.545 0.816
O 0.313 0.250 0.404
O 0.385 0.250 0.039
O 0.467 0.250 0.669

Calculated values
- total moment (μB/f.u.) = 3.00
- N(E_F) (states/eV/f.u.) = 0.00
- final energy (eV/atom) = -7.4843

---

A plane-wave DFT calculation with PBEsol was carried out for a relaxed structure of RbLi2MnC.

abc: 4.495 4.495 5.532
angles: 90.00 90.00 90.00
Space group P4/mmm (No. 123)
Unique sites:
Rb 0.000 0.000 0.000
Li 0.000 0.500 0.500
Mn 0.500 0.500 0.000
C 0.000 0.000 0.500

Calculated values
- total moment (μB/f.u.) = 5.75
- N(E_F) (states/eV/f.u.) = 3.24
- final energy (eV/atom) = -3.5162

---

A plane-wave DFT calculation with PBEsol was carried out for a relaxed structure of LiMoC3.

abc: 3.474 3.474 3.474
angles: 90.00 90.00 90.00
Space group Pm-3m (No. 221)
Unique sites:
Li 0.000 0.000 0.000
Mo 0.500 0.500 0.500
C 0.000 0.000 0.500

Calculated values
- total moment (μB/f.u.) = 0.00
- N(E_F) (states/eV/f.u.) = 3.81
- final energy (eV/atom) = -6.0403

---

A plane-wave DFT calculation with PBEsol was carried out for a relaxed structure of LiMoC2.

abc: 5.184 5.184 5.184
angles: 90.00 90.00 90.00
Space group Fm-3m (No. 225)
Unique sites:
Li 0.000 0.000 0.000
Mo 0.000 0.000 0.500
C 0.250 0.250 0.250

Calculated values
- total moment (μB/f.u.) = 0.00
- N(E_F) (states/eV/f.u.) = 2.13
- final energy (eV/atom) = -7.2285

---

A plane-wave DFT calculation with PBEsol was carried out for a relaxed structure of LiMo2C2.

abc: 3.929 3.929 9.546
angles: 90.00 90.00 90.00
Space group I4/mmm (No. 139)
Unique sites:
Li 0.000 0.000 0.000
Mo 0.000 0.500 0.250
C 0.000 0.000 0.315

Calculated values
- total moment (μB/f.u.) = 0.00
- N(E_F) (states/eV/f.u.) = 2.18
- final energy (eV/atom) = -8.5771

---

A plane-wave DFT calculation with PBEsol was carried out for a relaxed structure of RbLi2MoC.

abc: 4.777 4.777 4.098
angles: 90.00 90.00 90.00
Space group P4/mmm (No. 123)
Unique sites:
Rb 0.000 0.000 0.000
Li 0.000 0.500 0.500
Mo 0.500 0.500 0.000
C 0.500 0.500 0.500

Calculated values
- total moment (μB/f.u.) = 2.02
- N(E_F) (states/eV/f.u.) = 3.03
- final energy (eV/atom) = -4.4821

---

A plane-wave DFT calculation with PBEsol was carried out for a relaxed structure of SrLi2MoC.

abc: 4.335 4.335 4.855
angles: 90.00 90.00 90.00
Space group P4/mmm (No. 123)
Unique sites:
Sr 0.000 0.000 0.000
Li 0.000 0.500 0.000
Mo 0.000 0.000 0.500
C 0.500 0.500 0.500

Calculated values
- total moment (μB/f.u.) = 0.42
- N(E_F) (states/eV/f.u.) = 4.23
- final energy (eV/atom) = -2.5307